BeAlAu: relaxed, GGA-PBE.

Output
excess energy over the best structure of this formula in the dataset	66.1	meV/atom
total DFT energy (no corrections)	-3.71	eV per atom
density	7.9	Mg/m³

Lattice parameters (Å, degrees): 4.1143 4.1143 4.1143 60.00 60.00 60.00
With the nearest neighbours (Å) after each atom.
Element x y z (fractional)
Be  0.0000  0.0000  0.0000  4 Au 2.52
Al  0.5000  0.5000  0.5000  4 Au 2.52
Au  0.2500  0.2500  0.2500  4 Al 2.52, 4 Be 2.52